1.
Compound: La2Pm6Pb
Source: Alexandria
Functional: PBE
Structure: optimized geometry

Cell: 3.5770 10.0443 10.0443 Å, 120.00 90.00 90.00°
Atoms (fractional coordinates):
La: 0.5000 0.6667 0.3333
La: 0.5000 0.3333 0.6667
Pm: 0.2270 0.6794 0.6794
Pm: 0.7730 0.0000 0.6794
Pm: 0.7730 0.3206 0.3206
Pm: 0.2270 0.3206 0.0000
Pm: 0.7730 0.6794 0.0000
Pm: 0.2270 0.0000 0.3206
Pb: 0.0000 0.0000 0.0000

Summary:
Space-group type: P-31m
D(E_F): 1.98 states/eV/atom
E_form: 18 meV per atom

***

2.
Compound: Ag2IrBr
Source: Alexandria
Functional: PBE
Structure: optimized geometry

Cell: 9.8344 9.8344 9.8344 Å, 17.42 17.42 17.42°
Site moments in Bohr magnetons follow the coordinates.
Atoms (fractional coordinates):
Br: 0.2500 0.2500 0.2500  0.01
Ir: 0.7500 0.7500 0.7500  0.72
Ag: 0.4944 0.4944 0.4944  0.01
Ag: 0.0056 0.0056 0.0056  0.01

Summary:
Space-group type: R-3m
D(E_F): 0.72 states/eV/atom
E above lowest polymorph: 20 meV/atom
Formation energy without anion corrections: 0.465 eV per atom

***

3.
Compound: CdCuRe2
Source: Alexandria
Functional: PBE
Structure: optimized geometry

Cell: 2.7930 3.9336 5.7493 Å, 90.00 90.00 90.00°
Atoms (fractional coordinates):
Cu: 0.5000 0.5000 0.7530
Cd: 0.0000 0.0000 0.5200
Re: 0.5000 0.5000 0.2072
Re: 0.0000 0.0000 0.0198

Summary:
Space-group type: Pmm2
D(E_F): 0.69 states/eV/atom
E_form: 375 meV per atom

***

> Which of these has the highest D(E_F)?

La2Pm6Pb

***

> The lowest D(E_F) belongs to which entry?

CdCuRe2